Record 1
An optimized crystal structure of La2Pm7NdTl2, computed with PBE.

For the energy relative to the elements, the calculation gives -0.0294 eV/atom. The calculation puts the electronic total energy at -4.41 eV/atom. The theoretical density is 7.50 g cm⁻³. Its crystal system is orthorhombic.

The structure belongs to space group Cmmm (No. 65); the cell edges are 7.029, 10.244 and 11.349 Å and the angles 90.00°, 90.00° and 90.00°. Symmetry generates all atoms from La at (0.000, 0.000, 0.148), Pm at (0.000, 0.000, 0.500), Pm at (0.000, 0.312, 0.000), Pm at (0.250, 0.250, 0.330), Nd at (0.000, 0.500, 0.500) and Tl at (0.000, 0.500, 0.223).

---

Record 2
An optimized crystal structure of La6Pm2NdTl, computed with PBE.

For the energy relative to the elements, the calculation gives -0.0024 eV/atom. The calculation puts the electronic total energy at -4.62 eV/atom. The theoretical density is 6.96 g cm⁻³. Its crystal system is monoclinic.

The structure belongs to space group C2/c (No. 15); the cell edges are 11.001, 13.458 and 9.629 Å and the angles 90.00°, 99.69° and 90.00°. Symmetry generates all atoms from La at (0.051, 0.119, 0.096), La at (0.091, 0.328, 0.910), La at (0.248, 0.291, 0.335), Pm at (0.229, 0.471, 0.605), Nd at (0.000, 0.423, 0.250) and Tl at (0.000, 0.098, 0.750).

---

Record 3
An optimized crystal structure of LaPm2NdTl, computed with PBE.

For the energy relative to the elements, the calculation gives 0.1252 eV/atom. The calculation puts the electronic total energy at -4.19 eV/atom. The theoretical density is 7.08 g cm⁻³. Its crystal system is orthorhombic.

The structure belongs to space group Cmcm (No. 63); the cell edges are 8.833, 11.931 and 6.918 Å and the angles 90.00°, 90.00° and 90.00°. Symmetry generates all atoms from La at (0.000, 0.235, 0.250), Pm at (0.179, 0.500, 0.000), Nd at (0.000, 0.053, 0.750) and Tl at (0.000, 0.309, 0.750).

---

Record 4
An optimized crystal structure of La3Pm2Nd6Tl, computed with PBE.

For the energy relative to the elements, the calculation gives -0.0244 eV/atom. The calculation puts the electronic total energy at -4.63 eV/atom. The theoretical density is 7.20 g cm⁻³. Its crystal system is monoclinic.

The structure belongs to space group C2/m (No. 12); the cell edges are 6.297, 10.944 and 12.084 Å and the angles 90.00°, 100.27° and 90.00°. Symmetry generates all atoms from La at (0.000, 0.000, 0.000), La at (0.000, 0.329, 0.000), Pm at (0.000, 0.166, 0.500), Nd at (0.243, 0.337, 0.744), Nd at (0.244, 0.500, 0.253) and Tl at (0.000, 0.500, 0.500).

---

Record 5
An optimized crystal structure of LaPmNd2Tl, computed with PBE.

For the energy relative to the elements, the calculation gives 0.0598 eV/atom. The calculation puts the electronic total energy at -4.26 eV/atom. The theoretical density is 7.31 g cm⁻³. Its crystal system is orthorhombic.

The structure belongs to space group Cmcm (No. 63); the cell edges are 6.762, 15.318 and 6.819 Å and the angles 90.00°, 90.00° and 90.00°. Symmetry generates all atoms from La at (0.000, 0.247, 0.250), Pm at (0.000, 0.344, 0.750), Nd at (0.243, 0.000, 0.000) and Tl at (0.000, 0.148, 0.750).

---

Record 6
An optimized crystal structure of LaPm5Nd2Tl, computed with PBE.

For the energy relative to the elements, the calculation gives -0.0022 eV/atom. The calculation puts the electronic total energy at -4.51 eV/atom. The theoretical density is 7.26 g cm⁻³. Its crystal system is orthorhombic.

The structure belongs to space group Cmc2_1 (No. 36); the cell edges are 5.606, 20.188 and 10.969 Å and the angles 90.00°, 90.00° and 90.00°. Symmetry generates all atoms from La at (0.000, 0.205, 0.000), Pm at (0.000, 0.013, 0.000), Pm at (0.000, 0.292, 0.299), Pm at (0.000, 0.292, 0.701), Pm at (0.000, 0.386, 0.000), Pm at (0.000, 0.500, 0.250), Nd at (0.000, 0.117, 0.298), Nd at (0.000, 0.117, 0.702) and Tl at (0.000, 0.408, 0.499).

---

Record 7
An optimized crystal structure of LaPmNd2Tl2, computed with PBE.

For the energy relative to the elements, the calculation gives -0.2762 eV/atom. The calculation puts the electronic total energy at -4.27 eV/atom. The theoretical density is 8.52 g cm⁻³. Its crystal system is orthorhombic.

The structure belongs to space group Pmc2_1 (No. 26); the cell edges are 5.390, 10.218 and 6.944 Å and the angles 90.00°, 90.00° and 90.00°. Symmetry generates all atoms from La at (0.000, 0.040, 0.000), Pm at (0.500, 0.180, 0.726), Nd at (0.000, 0.324, 0.339), Nd at (0.500, 0.459, 0.061), Tl at (0.000, 0.356, 0.812) and Tl at (0.500, 0.144, 0.254).

---

Record 8
An optimized crystal structure of LaPmNd6Tm2, computed with PBE.

For the energy relative to the elements, the calculation gives 0.1107 eV/atom. The calculation puts the electronic total energy at -4.61 eV/atom. The theoretical density is 7.11 g cm⁻³. Its crystal system is monoclinic.

The structure belongs to space group C2/c (No. 15); the cell edges are 9.395, 15.262 and 9.776 Å and the angles 90.00°, 97.56° and 90.00°. Symmetry generates all atoms from La at (0.000, 0.094, 0.250), Pm at (0.000, 0.466, 0.750), Nd at (0.067, 0.327, 0.443), Nd at (0.094, 0.109, 0.620), Nd at (0.211, 0.273, 0.820) and Tm at (0.245, 0.452, 0.049).

---

Record 9
An optimized crystal structure of La3Pm6NdTm2, computed with PBE.

For the energy relative to the elements, the calculation gives 0.0212 eV/atom. The calculation puts the electronic total energy at -4.73 eV/atom. The theoretical density is 7.11 g cm⁻³. Its crystal system is monoclinic.

The structure belongs to space group C2/m (No. 12); the cell edges are 6.319, 10.952 and 12.125 Å and the angles 90.00°, 100.07° and 90.00°. Symmetry generates all atoms from La at (0.000, 0.000, 0.000), La at (0.000, 0.333, 0.000), Pm at (0.247, 0.000, 0.744), Pm at (0.249, 0.333, 0.744), Nd at (0.000, 0.500, 0.500) and Tm at (0.000, 0.167, 0.500).

---

Record 10
An optimized crystal structure of LaPm2NdTm, computed with PBE.

For the energy relative to the elements, the calculation gives 0.2598 eV/atom. The calculation puts the electronic total energy at -4.47 eV/atom. The theoretical density is 6.85 g cm⁻³. Its crystal system is monoclinic.

The structure belongs to space group P2/c (No. 13); the cell edges are 9.167, 6.471 and 6.462 Å and the angles 90.00°, 110.22° and 90.00°. Symmetry generates all atoms from La at (0.000, 0.000, 0.000), Pm at (0.316, 0.324, 0.159), Nd at (0.500, 0.162, 0.750) and Tm at (0.000, 0.498, 0.750).

---

Record 11
An optimized crystal structure of La2Pm2Nd4Tm, computed with PBE.

For the energy relative to the elements, the calculation gives 0.0121 eV/atom. The calculation puts the electronic total energy at -4.75 eV/atom. The theoretical density is 6.92 g cm⁻³. Its crystal system is monoclinic.

The structure belongs to space group C2/m (No. 12); the cell edges are 19.174, 3.703 and 9.835 Å and the angles 90.00°, 115.51° and 90.00°. Symmetry generates all atoms from La at (0.164, 0.000, 0.499), Pm at (0.147, 0.500, 0.167), Nd at (0.018, 0.000, 0.830), Nd at (0.185, 0.500, 0.833) and Tm at (0.000, 0.500, 0.500).

---

Record 12
An optimized crystal structure of La4PmNdTm2, computed with PBE.

For the energy relative to the elements, the calculation gives 0.0110 eV/atom. The calculation puts the electronic total energy at -4.76 eV/atom. The theoretical density is 7.13 g cm⁻³. Its crystal system is monoclinic.

The structure belongs to space group P2/m (No. 10); the cell edges are 6.340, 3.677 and 11.992 Å and the angles 90.00°, 100.09° and 90.00°. Symmetry generates all atoms from La at (0.246, 0.000, 0.247), La at (0.246, 0.500, 0.748), Pm at (0.500, 0.000, 0.000), Nd at (0.500, 0.500, 0.500), Tm at (0.000, 0.000, 0.500) and Tm at (0.000, 0.500, 0.000).

---

The highest electronic total energy belongs to which entry?
LaPm2NdTl

---

Look up the electronic total energy of the twelfth one.
-4.76 eV/atom